one) Crystalline VTcSN2 at its relaxed geometry. Source: the Alexandria database, functional PBE-GGA.

Lattice parameters (Å, degrees): 3.779 3.779 4.953 90.00 90.00 90.00
Sites, in units of the cell vectors:
V (0.000, 0.000, 0.000)
Tc (0.500, 0.500, 0.500)
S (0.500, 0.500, 0.000)
N (0.000, 0.500, 0.500)
N (0.500, 0.000, 0.500)

Results
Its total magnetization is 0.00 μB/cell. As for the space group: P4/mmm.

=====

two) Crystalline VTcSN2 at its relaxed geometry. Source: the Alexandria database, functional PBE-GGA.

Lattice parameters (Å, degrees): 3.728 3.728 4.929 90.00 90.00 90.00
Sites, in units of the cell vectors:
V (0.000, 0.000, 0.000)
Tc (0.500, 0.500, 0.500)
S (0.000, 0.000, 0.500)
N (0.000, 0.500, 0.000)
N (0.500, 0.000, 0.000)

Results
Its total magnetization is 3.39 μB/cell. As for the space group: P4/mmm.

=====

Relative stability in eV/atom, measured from the most stable structure: one) 0.137; two) 0.000

=====

one) Crystalline TcWSN2 at its relaxed geometry. Source: the Alexandria database, functional PBE-GGA.

Lattice parameters (Å, degrees): 3.805 3.805 5.016 90.00 90.00 90.00
Sites, in units of the cell vectors:
Tc (0.000, 0.000, 0.000)
W (0.500, 0.500, 0.500)
S (0.000, 0.000, 0.500)
N (0.000, 0.500, 0.000)
N (0.500, 0.000, 0.000)

Results
Its total magnetization is 2.93 μB/cell. As for the space group: P4/mmm.

=====

two) Crystalline TcWSN2 at its relaxed geometry. Source: the Alexandria database, functional PBE-GGA.

Lattice parameters (Å, degrees): 3.891 3.891 5.025 90.00 90.00 90.00
Sites, in units of the cell vectors:
Tc (0.000, 0.000, 0.000)
W (0.500, 0.500, 0.500)
S (0.500, 0.500, 0.000)
N (0.000, 0.500, 0.500)
N (0.500, 0.000, 0.500)

Results
Its total magnetization is 4.27 μB/cell. As for the space group: P4/mmm.

=====

Relative stability in eV/atom, measured from the most stable structure: one) 0.460; two) 0.000

=====

one) Crystalline TeSN2 at its relaxed geometry. Source: the Alexandria database, functional PBE-GGA.

Lattice parameters (Å, degrees): 5.835 5.835 5.835 90.00 90.00 90.00
Sites, in units of the cell vectors:
Te (0.000, 0.000, 0.000)
Te (0.000, 0.500, 0.500)
Te (0.500, 0.000, 0.500)
Te (0.500, 0.500, 0.000)
S (0.000, 0.000, 0.500)
S (0.000, 0.500, 0.000)
S (0.500, 0.000, 0.000)
S (0.500, 0.500, 0.500)
N (0.250, 0.250, 0.250)
N (0.250, 0.250, 0.750)
N (0.250, 0.750, 0.250)
N (0.250, 0.750, 0.750)
N (0.750, 0.250, 0.250)
N (0.750, 0.250, 0.750)
N (0.750, 0.750, 0.250)
N (0.750, 0.750, 0.750)

Results
Its total magnetization is 0.00 μB/cell. As for the space group: Fm-3m.

=====

two) Crystalline TeSN2 at its relaxed geometry. Source: the Alexandria database, functional PBE-GGA.

Lattice parameters (Å, degrees): 5.360 5.360 5.360 60.00 60.00 60.00
Sites, in units of the cell vectors:
Te (0.125, 0.125, 0.125)
Te (0.875, 0.875, 0.875)
S (0.375, 0.375, 0.375)
S (0.625, 0.625, 0.625)
N (0.000, 0.500, 0.500)
N (0.500, 0.000, 0.500)
N (0.500, 0.500, 0.000)
N (0.500, 0.500, 0.500)

Results
Its total magnetization is 0.00 μB/cell. As for the space group: Fd-3m.

=====

Relative stability in eV/atom, measured from the most stable structure: one) 0.546; two) 0.000